Density functional theory data (PBE-GGA) for a relaxed Ta2TcOs crystal.

Output
Crystal system: cubic
Volume (Å³ per atom): 16.10
Formation enthalpy at 0 K (eV/atom): -0.406

a = 4.500 Å, b = 4.500 Å, c = 4.500 Å
α = 60.00°, β = 60.00°, γ = 60.00°
Fractional coordinates of all 4 atoms:
Ta 0.250 0.250 0.250
Ta 0.750 0.750 0.750
Tc 0.000 0.000 0.000
Os 0.500 0.500 0.500